SCAN Sr2LiTl, PBEsol geometry; energy of formation from the pure elements = -0.369 eV per atom; DOS at the Fermi energy = 0.83 states/eV per atom; SG = Fm-3m (225); final energy = -30.194 eV/atom; E above lowest polymorph = 0.0 meV per atom; calculated volume = 132.0 Å³/cell
1.0
0.0000 4.0409 4.0409
4.0409 0.0000 4.0409
4.0409 4.0409 0.0000
Sr Li Tl
2 1 1
Cartesian
2.0205 2.0205 2.0205 Sr
6.0614 6.0614 6.0614 Sr
0.0000 0.0000 0.0000 Li
4.0409 4.0409 4.0409 Tl

SCAN Cr3W, PBEsol geometry; energy of formation from the pure elements = 0.093 eV per atom; DOS at the Fermi energy = 0.62 states/eV per atom; SG = R-3m (166); final energy = -31.117 eV/atom; calculated volume = 49.8 Å³/cell
1.0
4.0983 2.3662 0.8563
-4.0983 2.3662 0.8563
0.0000 -4.7323 0.8563
Cr W
3 1
Cartesian
-2.0491 -1.1831 0.8563 Cr
-2.0491 1.1831 1.7126 Cr
0.0000 2.3662 0.8563 Cr
0.0000 0.0000 0.0000 W

SCAN Mg2TcF, PBEsol geometry; formation energy without anion corrections = -0.55 eV per atom; DOS at the Fermi energy = 0.48 states/eV per atom; SG = I-42d (122); final energy = -12.687 eV/atom; calculated volume = 127.4 Å³/cell
1.0
-3.1002 3.1002 3.3128
3.1002 -3.1002 3.3128
3.1002 3.1002 -3.3128
Mg Tc F
4 2 2
Cartesian
1.5501 1.0087 -0.8282 Mg
2.0915 -1.5501 4.1410 Mg
1.5501 2.0915 2.4846 Mg
1.0087 4.6503 0.8282 Mg
3.1002 0.0000 1.6564 Tc
0.0000 0.0000 3.3128 Tc
0.0000 0.0000 0.0000 F
0.0000 3.1002 1.6564 F

SCAN K2RbCrNi, PBEsol geometry; energy of formation from the pure elements = 1.287 eV per atom; DOS at the Fermi energy = 0.46 states/eV per atom; SG = P4/mmm (123); final energy = -13.103 eV/atom; calculated volume = 212.1 Å³/cell
1.0
6.5827 0.0000 0.0000
0.0000 6.5827 0.0000
0.0000 0.0000 4.8947
K Rb Cr Ni
2 1 1 1
Cartesian
0.0000 3.2914 0.0000 K
3.2914 0.0000 0.0000 K
0.0000 0.0000 0.0000 Rb
3.2914 3.2914 2.4473 Cr
0.0000 0.0000 2.4473 Ni

SCAN Ti3ZnAg, PBEsol geometry; energy of formation from the pure elements = 0.783 eV per atom; DOS at the Fermi energy = 1.85 states/eV per atom; SG = Pm-3m (221); final energy = -17.812 eV/atom; calculated volume = 97.3 Å³/cell
1.0
4.5995 0.0000 0.0000
0.0000 4.5995 0.0000
0.0000 0.0000 4.5995
Ti Zn Ag
3 1 1
Cartesian
0.0000 0.0000 2.2998 Ti
0.0000 2.2998 0.0000 Ti
2.2998 0.0000 0.0000 Ti
0.0000 0.0000 0.0000 Zn
2.2998 2.2998 2.2998 Ag

SCAN LaCoCl, PBEsol geometry; formation energy without anion corrections = -0.40 eV per atom; DOS at the Fermi energy = 0.58 states/eV per atom; SG = P3m1 (156); final energy = -23.194 eV/atom; calculated volume = 75.8 Å³/cell
1.0
3.8051 0.0000 0.0000
-1.9025 3.2953 0.0000
0.0000 0.0000 6.0485
La Co Cl
1 1 1
Cartesian
0.0000 0.0000 0.0000 La
0.0000 2.1969 1.7083 Co
1.9025 1.0984 4.0950 Cl

SCAN TlC2, PBEsol geometry; energy of formation from the pure elements = 3.471 eV per atom; DOS at the Fermi energy = 0.42 states/eV per atom; SG = Fd-3m (227); final energy = -27.381 eV/atom; E above lowest polymorph = 2579.7 meV per atom; calculated volume = 78.6 Å³/cell
1.0
0.0000 3.4003 3.4003
3.4003 0.0000 3.4003
3.4003 3.4003 0.0000
Tl C
2 4
Cartesian
0.8501 0.8501 0.8501 Tl
5.9505 5.9505 5.9505 Tl
3.4003 1.7001 1.7001 C
1.7001 3.4003 1.7001 C
1.7001 1.7001 3.4003 C
3.4003 3.4003 3.4003 C

SCAN CaZnGe2O6, PBEsol geometry; formation energy without anion corrections = -2.14 eV per atom; DOS at the Fermi energy = 0.00 states/eV per atom; SG = C2/c (15); final energy = -12.014 eV/atom; calculated volume = 238.0 Å³/cell
1.0
5.0900 -4.4598 0.0000
5.0900 4.4598 0.0000
-1.4106 0.0000 5.2433
Ca Zn Ge O
2 2 4 12
Cartesian
4.0321 2.7251 3.9324 Ca
4.7374 -2.7251 1.3108 Ca
4.7374 0.8186 1.3108 Zn
4.0321 -0.8186 3.9324 Zn
1.1119 0.8856 4.0531 Ge
1.8172 -0.8856 1.4315 Ge
6.9523 0.8856 3.8118 Ge
7.6576 -0.8856 1.1902 Ge
1.4049 0.2768 0.0857 O
3.1995 2.0991 1.8222 O
0.6996 -0.2768 2.7073 O
2.7748 0.8307 4.5410 O
6.2753 2.0991 0.7994 O
3.4802 -0.8307 1.9194 O
5.2893 0.8307 3.3239 O
2.4942 -2.0991 4.4438 O
5.9946 -0.8307 0.7023 O
8.0699 0.2768 2.5360 O
5.5700 -2.0991 3.4210 O
7.3646 -0.2768 5.1576 O

SCAN Ti3BAs, PBEsol geometry; energy of formation from the pure elements = 0.869 eV per atom; DOS at the Fermi energy = 0.98 states/eV per atom; SG = Pm-3m (221); final energy = -14.273 eV/atom; calculated volume = 94.3 Å³/cell
1.0
4.5514 0.0000 0.0000
0.0000 4.5514 0.0000
0.0000 0.0000 4.5514
Ti B As
3 1 1
Cartesian
0.0000 0.0000 2.2757 Ti
0.0000 2.2757 0.0000 Ti
2.2757 0.0000 0.0000 Ti
2.2757 2.2757 2.2757 B
0.0000 0.0000 0.0000 As

SCAN ZrAgRh2, PBEsol geometry; energy of formation from the pure elements = -0.419 eV per atom; DOS at the Fermi energy = 1.53 states/eV per atom; SG = I-4m2 (119); final energy = -32.821 eV/atom; calculated volume = 62.7 Å³/cell
1.0
-1.9530 1.9530 4.1116
1.9530 -1.9530 4.1116
1.9530 1.9530 -4.1116
Zr Ag Rh
1 1 2
Cartesian
0.0000 0.0000 0.0000 Zr
1.9530 0.0000 2.0558 Ag
0.0000 0.0000 4.1116 Rh
0.0000 1.9530 2.0558 Rh

SCAN TlI2NF, PBEsol geometry; formation energy without anion corrections = 0.84 eV per atom; DOS at the Fermi energy = 0.73 states/eV per atom; SG = P4/mmm (123); final energy = -30.899 eV/atom; calculated volume = 150.9 Å³/cell
1.0
5.9281 0.0000 0.0000
0.0000 5.9281 0.0000
0.0000 0.0000 4.2951
Tl I N F
1 2 1 1
Cartesian
0.0000 0.0000 0.0000 Tl
0.0000 2.9641 0.0000 I
2.9641 0.0000 0.0000 I
0.0000 0.0000 2.1475 N
2.9641 2.9641 2.1475 F

SCAN MnTeCN2, PBEsol geometry; formation energy without anion corrections = 1.34 eV per atom; DOS at the Fermi energy = 0.37 states/eV per atom; SG = P4/mmm (123); final energy = -15.501 eV/atom; E above lowest polymorph = 0.0 meV per atom; calculated volume = 65.2 Å³/cell
1.0
3.4600 0.0000 0.0000
0.0000 3.4600 0.0000
0.0000 0.0000 5.4449
Mn Te C N
1 1 1 2
Cartesian
0.0000 0.0000 0.0000 Mn
0.0000 0.0000 2.7224 Te
1.7300 1.7300 2.7224 C
0.0000 1.7300 0.0000 N
1.7300 0.0000 0.0000 N

SCAN Mg4Hg5, PBEsol geometry; energy of formation from the pure elements = -0.180 eV per atom; DOS at the Fermi energy = 0.35 states/eV per atom; SG = I4/mmm (139); final energy = -40.261 eV/atom; E above lowest polymorph = 91.8 meV per atom; calculated volume = 191.9 Å³/cell
1.0
-4.5679 4.5679 2.2997
4.5679 -4.5679 2.2997
4.5679 4.5679 -2.2997
Mg Hg
4 5
Cartesian
2.9273 0.0000 0.0000 Mg
6.2084 0.0000 0.0000 Mg
0.0000 2.9273 0.0000 Mg
0.0000 6.2084 0.0000 Mg
0.0000 0.0000 0.0000 Hg
3.0092 3.0092 0.0000 Hg
1.5587 -1.5587 2.2997 Hg
-1.5587 1.5587 2.2997 Hg
1.5587 1.5587 2.2997 Hg

SCAN Rb3CaTl, PBEsol geometry; energy of formation from the pure elements = 0.235 eV per atom; DOS at the Fermi energy = 0.73 states/eV per atom; SG = Pm-3m (221); final energy = -28.613 eV/atom; calculated volume = 331.7 Å³/cell
1.0
6.9224 0.0000 0.0000
0.0000 6.9224 0.0000
0.0000 0.0000 6.9224
Rb Ca Tl
3 1 1
Cartesian
0.0000 0.0000 3.4612 Rb
0.0000 3.4612 0.0000 Rb
3.4612 0.0000 0.0000 Rb
3.4612 3.4612 3.4612 Ca
0.0000 0.0000 0.0000 Tl

SCAN TcPRu3, PBEsol geometry; energy of formation from the pure elements = 0.649 eV per atom; DOS at the Fermi energy = 0.80 states/eV per atom; SG = Pm-3m (221); final energy = -29.339 eV/atom; calculated volume = 76.9 Å³/cell
1.0
4.2524 0.0000 0.0000
0.0000 4.2524 0.0000
0.0000 0.0000 4.2524
Tc P Ru
1 1 3
Cartesian
0.0000 0.0000 0.0000 Tc
2.1262 2.1262 2.1262 P
0.0000 2.1262 2.1262 Ru
2.1262 0.0000 2.1262 Ru
2.1262 2.1262 0.0000 Ru

SCAN KPb2Cl, PBEsol geometry; formation energy without anion corrections = -0.44 eV per atom; DOS at the Fermi energy = 0.65 states/eV per atom; SG = Cmmm (65); final energy = -42.411 eV/atom; E above lowest polymorph = 294.6 meV per atom; calculated volume = 122.4 Å³/cell
1.0
3.0523 -5.9124 0.0000
3.0523 5.9124 0.0000
0.0000 0.0000 3.3907
K Pb Cl
1 2 1
Cartesian
0.0000 0.0000 0.0000 K
1.5261 2.9562 1.6953 Pb
1.5261 -2.9562 1.6953 Pb
3.0523 0.0000 0.0000 Cl

SCAN Li3PC, PBEsol geometry; energy of formation from the pure elements = 0.536 eV per atom; DOS at the Fermi energy = 0.57 states/eV per atom; SG = Pm-3m (221); final energy = -4.998 eV/atom; calculated volume = 61.6 Å³/cell
1.0
3.9494 0.0000 0.0000
0.0000 3.9494 0.0000
0.0000 0.0000 3.9494
Li P C
3 1 1
Cartesian
0.0000 0.0000 1.9747 Li
0.0000 1.9747 0.0000 Li
1.9747 0.0000 0.0000 Li
1.9747 1.9747 1.9747 P
0.0000 0.0000 0.0000 C

SCAN CuIr2Se, PBEsol geometry; formation energy without anion corrections = 0.43 eV per atom; DOS at the Fermi energy = 0.73 states/eV per atom; SG = Pmmm (47); final energy = -43.936 eV/atom; calculated volume = 55.8 Å³/cell
1.0
2.9441 0.0000 0.0000
0.0000 3.3138 0.0000
0.0000 0.0000 5.7150
Cu Ir Se
1 2 1
Cartesian
0.0000 0.0000 0.0000 Cu
1.4720 1.6569 1.3706 Ir
1.4720 1.6569 4.3445 Ir
0.0000 0.0000 2.8575 Se

SCAN Cr2CI, PBEsol geometry; formation energy without anion corrections = 1.56 eV per atom; DOS at the Fermi energy = 0.43 states/eV per atom; SG = Fm-3m (225); final energy = -19.340 eV/atom; calculated volume = 50.0 Å³/cell
1.0
0.0000 2.9243 2.9243
2.9243 0.0000 2.9243
2.9243 2.9243 0.0000
Cr C I
2 1 1
Cartesian
1.4622 1.4622 1.4622 Cr
4.3865 4.3865 4.3865 Cr
0.0000 0.0000 0.0000 C
2.9243 2.9243 2.9243 I

SCAN NdHg3, PBEsol geometry; energy of formation from the pure elements = -0.547 eV per atom; DOS at the Fermi energy = 0.50 states/eV per atom; SG = P6_3/mmc (194); final energy = -62.567 eV/atom; calculated volume = 189.6 Å³/cell
1.0
6.6671 0.0000 0.0000
-3.3336 5.7739 0.0000
0.0000 0.0000 4.9246
Nd Hg
2 6
Cartesian
0.0000 3.8493 1.2311 Nd
3.3336 1.9246 3.6934 Nd
0.0000 1.8714 3.6934 Hg
-1.7129 4.8382 3.6934 Hg
1.6207 0.9357 1.2311 Hg
1.7129 4.8382 3.6934 Hg
5.0465 0.9357 1.2311 Hg
3.3336 3.9025 1.2311 Hg

SCAN ReRh, PBEsol geometry; energy of formation from the pure elements = 0.605 eV per atom; DOS at the Fermi energy = 1.22 states/eV per atom; SG = Pm-3m (221); final energy = -51.830 eV/atom; E above lowest polymorph = 817.8 meV per atom; calculated volume = 28.6 Å³/cell
1.0
3.0580 0.0000 0.0000
0.0000 3.0580 0.0000
0.0000 0.0000 3.0580
Re Rh
1 1
Cartesian
0.0000 0.0000 0.0000 Re
1.5290 1.5290 1.5290 Rh

SCAN Rb2SiAgSn, PBEsol geometry; formation energy without anion corrections = 0.48 eV per atom; DOS at the Fermi energy = 0.35 states/eV per atom; SG = P4/mmm (123); final energy = -23.279 eV/atom; calculated volume = 233.9 Å³/cell
1.0
6.9500 0.0000 0.0000
0.0000 6.9500 0.0000
0.0000 0.0000 4.8426
Rb Si Ag Sn
2 1 1 1
Cartesian
0.0000 3.4750 0.0000 Rb
3.4750 0.0000 0.0000 Rb
0.0000 0.0000 2.4213 Si
3.4750 3.4750 2.4213 Ag
0.0000 0.0000 0.0000 Sn

SCAN GaWIO2, PBEsol geometry; formation energy without anion corrections = -0.66 eV per atom; DOS at the Fermi energy = 0.42 states/eV per atom; SG = P4/mmm (123); final energy = -27.707 eV/atom; calculated volume = 90.7 Å³/cell
1.0
3.9508 0.0000 0.0000
0.0000 3.9508 0.0000
0.0000 0.0000 5.8109
Ga W I O
1 1 1 2
Cartesian
0.0000 0.0000 0.0000 Ga
1.9754 1.9754 2.9054 W
1.9754 1.9754 0.0000 I
0.0000 1.9754 2.9054 O
1.9754 0.0000 2.9054 O

SCAN LaSe2Cl, PBEsol geometry; formation energy without anion corrections = -1.52 eV per atom; DOS at the Fermi energy = 0.23 states/eV per atom; SG = P4/mmm (123); final energy = -24.335 eV/atom; E above lowest polymorph = 224.1 meV per atom; calculated volume = 87.8 Å³/cell
1.0
4.1320 0.0000 0.0000
0.0000 4.1320 0.0000
0.0000 0.0000 5.1429
La Se Cl
1 2 1
Cartesian
0.0000 0.0000 0.0000 La
0.0000 2.0660 2.5715 Se
2.0660 0.0000 2.5715 Se
2.0660 2.0660 0.0000 Cl

SCAN InGaGe2Bi, PBEsol geometry; energy of formation from the pure elements = 1.052 eV per atom; DOS at the Fermi energy = 0.68 states/eV per atom; SG = P4/mmm (123); final energy = -32.245 eV/atom; calculated volume = 173.0 Å³/cell
1.0
5.4697 0.0000 0.0000
0.0000 5.4697 0.0000
0.0000 0.0000 5.7840
In Ga Ge Bi
1 1 2 1
Cartesian
0.0000 0.0000 0.0000 In
2.7349 2.7349 0.0000 Ga
0.0000 2.7349 2.8920 Ge
2.7349 0.0000 2.8920 Ge
0.0000 0.0000 2.8920 Bi

SCAN Na2SiH10O8, PBEsol geometry; DOS at the Fermi energy = 0.00 states/eV per atom; SG = P-1 (2); final energy = -6.397 eV/atom; calculated volume = 387.5 Å³/cell
1.0
6.5675 0.0000 0.0000
-1.8406 7.6193 0.0000
-1.3163 -3.1111 7.7446
Na Si H O
4 2 20 16
Cartesian
0.0625 1.9542 1.2651 Na
0.2013 2.0965 4.9914 Na
3.2093 2.4118 2.7532 Na
3.3480 2.5541 6.4795 Na
2.6840 -0.5729 2.0474 Si
0.7266 5.0812 5.6972 Si
-1.7466 5.7752 1.6501 H
-1.7072 4.1145 4.5113 H
0.1109 -0.0181 3.1206 H
-0.9906 0.7193 6.8625 H
0.1746 -1.1631 6.5621 H
-0.4246 5.6568 3.4162 H
-0.6150 2.1029 7.6312 H
0.7089 3.9908 3.1815 H
2.5317 0.9891 0.3170 H
1.4417 4.4630 1.8607 H
1.9688 0.0453 5.8839 H
0.8788 3.5192 7.4276 H
2.7017 0.5175 4.5631 H
4.0256 2.4054 0.1134 H
3.8352 -1.1485 4.3284 H
3.2360 5.6713 1.1825 H
4.4011 3.7890 0.8821 H
3.2997 4.5264 4.6240 H
5.1178 0.3937 3.2333 H
5.1572 -1.2670 6.0945 H
-0.5018 0.7635 3.2184 O
-0.7725 -0.8721 6.7604 O
-1.0973 1.7263 6.8357 O
-0.5636 6.3724 2.6653 O
-0.1655 4.5595 4.4309 O
2.1203 0.7416 1.2164 O
1.2467 3.6366 2.3974 O
1.7839 -1.4994 6.6725 O
1.6267 6.0076 1.0721 O
2.1639 0.8717 5.3472 O
1.2903 3.7666 6.5282 O
3.5761 -0.0512 3.3137 O
3.9742 -1.8641 5.0793 O
4.5079 2.7820 0.9089 O
4.1831 5.3803 0.9842 O
3.9124 3.7448 4.5262 O

no.,M_tot (Bohr magnetons per cell)
1,0.0
2,0.0
3,5.2
4,5.4
5,0.9
6,1.0
7,0.0
8,0.0
9,0.0
10,0.0
11,3.2
12,0.5
13,0.0
14,0.1
15,3.7
16,0.0
17,0.0
18,0.0
19,3.1
20,0.0
21,0.0
22,0.0
23,0.0
24,0.0
25,0.0
26,0.0